No. 1
Os2PbCI | GGA-PBE | relaxed

Calculated values
Formation energy from raw total energies (kJ/mol of formula units): 1675
Calculated density (g/cm³): 8.4

Cell and atoms, written as POSCAR:
```
Os2PbCI
1.0
-3.004 3.198 -2.034
-4.803 -3.591 1.444
-0.436 2.287 4.239
Pb I C Os
1 1 1 2
direct
0.000 0.500 0.000 Pb
0.000 0.000 0.000 I
0.500 0.500 0.500 C
0.000 0.000 0.500 Os
0.500 0.000 0.000 Os
```


No. 2
Pm2GaSn3Pt4 | GGA-PBE | relaxed

Calculated values
ΔE_f (eV per atom): -0.853
Calculated density (g/cm³): 11.4

Cell and atoms, written as POSCAR:
```
Pm2GaSn3Pt4
1.0
4.528 0.000 0.000
0.000 4.528 0.000
0.000 0.000 10.649
Pm Ga Sn Pt
2 1 3 4
direct
0.500 0.000 0.253 Pm
0.000 0.500 0.747 Pm
0.500 0.500 0.500 Ga
0.000 0.000 0.500 Sn
0.500 0.000 0.868 Sn
0.000 0.500 0.132 Sn
0.500 0.500 0.000 Pt
0.000 0.000 0.000 Pt
0.500 0.000 0.625 Pt
0.000 0.500 0.375 Pt
```


No. 3
KTeOs2Au | GGA-PBE | relaxed

Calculated values
Formation energy from raw total energies (kJ/mol of formula units): 1548
Calculated density (g/cm³): 9.8

Cell and atoms, written as POSCAR:
```
KTeOs2Au
1.0
-0.424 2.855 -3.711
-5.295 -1.957 -0.900
-1.720 3.371 2.790
Os K Te Au
2 1 1 1
direct
0.000 0.000 0.500 Os
0.500 0.000 0.000 Os
0.000 0.000 0.000 K
0.000 0.500 0.000 Te
0.500 0.500 0.500 Au
```


Question: Which of these has the lowest calculated density?
Answer: Os2PbCI